VASP calculation (PBEsol) on an optimized crystal structure of KZrSc2Mo.

Its crystal system is tetragonal. As for the raw total energy: -32.01 eV per formula unit. Its density of states at the Fermi level is 5.69 states/eV/f.u. The space-group type is P4/mmm, No. 123.

a = 5.258 Å, b = 5.258 Å, c = 5.017 Å
α = 90.00°, β = 90.00°, γ = 90.00°
Element x y z (fractional)
K1 0.000 0.000 0.000
Zr1 0.500 0.500 0.000
Sc1 0.000 0.500 0.500
Sc2 0.500 0.000 0.500
Mo1 0.500 0.500 0.500